Entry 1:
Density functional theory data (GGA-PBE) for TiAuF3 after structural relaxation.

Formation energy without anion corrections, eV/f.u.: -9.59
Density, kg/m3: 7298

abc: 4.0951 4.0951 4.0951
angles: 90.00 90.00 90.00
Sites, in units of the cell vectors:
Au1 0.5000 0.5000 0.5000
F1 0.0000 0.5000 0.0000
F2 0.0000 0.0000 0.5000
F3 0.5000 0.0000 0.0000
Ti1 0.0000 0.0000 0.0000

---

Entry 2:
Density functional theory data (GGA-PBE) for Dy2ThSe4 after structural relaxation.

Formation energy without anion corrections, eV/f.u.: -12.13
Density, kg/m3: 7760

abc: 4.0413 7.0329 13.7214
angles: 90.00 90.00 106.70
Sites, in units of the cell vectors:
Se1 0.0345 0.0690 0.2500
Se2 0.2263 0.4527 0.6237
Se3 0.7737 0.5473 0.3763
Se4 0.5000 0.0000 0.0000
Se5 0.7737 0.5473 0.1237
Se6 0.9655 0.9310 0.7500
Se7 0.2263 0.4527 0.8763
Se8 0.5000 0.0000 0.5000
Dy1 0.1340 0.2681 0.0661
Dy2 0.8660 0.7319 0.9339
Dy3 0.8660 0.7319 0.5661
Dy4 0.1340 0.2681 0.4339
Th1 0.6253 0.2506 0.7500
Th2 0.3747 0.7494 0.2500

---

Entry 3:
Density functional theory data (GGA-PBE) for La4Ge2Sb after structural relaxation.

Formation energy without anion corrections, eV/f.u.: -5.55
Density, kg/m3: 5712

abc: 8.5316 8.5316 8.5371
angles: 108.28 109.80 110.32
Sites, in units of the cell vectors:
Sb1 0.9991 0.9991 0.0000
Sb2 0.2509 0.7509 0.5000
La1 0.3260 0.1470 0.8212
La2 0.9242 0.2452 0.3212
La3 0.4961 0.6731 0.8234
La4 0.3258 0.5048 0.1788
La5 0.9240 0.6030 0.6788
La6 0.7539 0.0769 0.6766
La7 0.4003 0.0773 0.3234
La8 0.8497 0.6727 0.1766
Ge1 0.6250 0.8750 0.2500
Ge2 0.6250 0.3750 0.2500
Ge3 0.6250 0.3750 0.7500
Ge4 0.1250 0.3750 0.7500

---

Entry 4:
Density functional theory data (GGA-PBE) for AcLaScGa after structural relaxation.

Density, kg/m3: 6916
Formation energy from the elements, eV per atom: 0.024

abc: 5.4645 5.4645 5.4645
angles: 60.00 60.00 60.00
Sites, in units of the cell vectors:
Ga1 0.2500 0.2500 0.2500
Ac1 0.7500 0.7500 0.7500
La1 0.5000 0.5000 0.5000
Sc1 0.0000 0.0000 0.0000

---

Entry 5:
Density functional theory data (GGA-PBE) for Co2RuBr after structural relaxation.

Formation energy without anion corrections, eV/f.u.: 2.42
Density, kg/m3: 6860

abc: 4.0050 4.0050 6.4876
angles: 83.22 83.22 44.50
Sites, in units of the cell vectors:
Co1 0.9350 0.9350 0.0979
Co2 0.2077 0.2077 0.2414
Br1 0.8817 0.8817 0.7388
Ru1 0.4756 0.4756 0.4220

---

Entry 6:
Density functional theory data (GGA-PBE) for TlCrP after structural relaxation.

Density, kg/m3: 6672
Formation energy from the elements, eV per atom: 0.912

abc: 4.6592 4.6592 4.6592
angles: 60.00 60.00 60.00
Sites, in units of the cell vectors:
Tl1 0.7500 0.7500 0.7500
Cr1 0.0000 0.0000 0.0000
P1 0.5000 0.5000 0.5000